Below is a relaxed VB2Te crystal, with properties calculated at the PBE-GGA level.

```
VB2Te
1.0
5.171 0.000 0.000
0.000 5.171 0.000
2.586 2.586 4.838
B Te V
4 2 2
direct
0.599 0.125 0.250 B
0.151 0.625 0.250 B
0.375 0.401 0.750 B
0.875 0.849 0.750 B
0.000 0.000 0.000 Te
0.750 0.250 0.500 Te
0.500 0.500 0.000 V
0.250 0.750 0.500 V
```

Computed properties:
Uncorrected formation energy ... 0.89 eV per atom
Magnetization ... 0.00 μB per formula unit
Calculated volume ... 16.2 A^3/atom
Crystal system ... tetragonal
Space-group type ... I-42d (122)

***

Below is a relaxed YHo2Sc3P6 crystal, with properties calculated at the PBE-GGA level.

```
YHo2Sc3P6
1.0
6.724 -0.001 0.001
-3.361 5.823 0.001
-1.121 -1.941 6.317
Y Ho Sc P
1 2 3 6
direct
0.000 0.000 0.000 Y
0.333 0.667 0.000 Ho
0.667 0.333 0.000 Ho
0.167 0.833 0.500 Sc
0.833 0.167 0.500 Sc
0.500 0.500 0.500 Sc
0.912 0.577 0.735 P
0.754 0.754 0.265 P
0.088 0.423 0.265 P
0.577 0.912 0.735 P
0.246 0.246 0.735 P
0.423 0.088 0.265 P
```

Computed properties:
Magnetization ... 0.00 μB per formula unit
DFT formation energy ... -18.5 eV/f.u.
Calculated volume ... 20.6 A^3/atom
Crystal system ... monoclinic
Space-group type ... C2/m (12)

***

Below is a relaxed Pa2AgGe crystal, with properties calculated at the PBE-GGA level.

```
Pa2AgGe
1.0
-2.782 3.759 -1.953
-1.783 -0.360 -4.731
-4.961 -0.668 -0.795
Ge Pa Ag
1 2 1
direct
0.000 0.000 0.000 Ge
0.250 0.250 0.250 Pa
0.750 0.750 0.750 Pa
0.500 0.500 0.500 Ag
```

Computed properties:
Polymorph energy (0 for the lowest one) ... 0.168 eV/atom
Magnetization ... 2.20 μB per formula unit
DFT formation energy ... 0.3 eV/f.u.
Calculated volume ... 23.0 A^3/atom
Crystal system ... cubic
Space-group type ... Fm-3m (225)

***

Below is a relaxed Sr2TmZrAs4 crystal, with properties calculated at the PBE-GGA level.

```
Sr2TmZrAs4
1.0
4.119 0.000 0.000
0.000 7.168 0.135
0.000 -2.498 7.081
Sr Tm Zr As
2 1 1 4
direct
0.500 0.000 0.500 Sr
0.000 0.500 0.500 Sr
0.500 0.500 0.000 Tm
0.000 0.000 0.000 Zr
0.500 0.230 0.214 As
0.500 0.770 0.786 As
0.000 0.252 0.783 As
0.000 0.748 0.217 As
```

Computed properties:
Magnetization ... 0.00 μB per formula unit
DFT formation energy ... -9.4 eV/f.u.
Calculated volume ... 26.3 A^3/atom
Crystal system ... monoclinic
Space-group type ... P2/m (10)